Below is a relaxed structure of Ac3Ag2, with properties calculated at the PBE level.

N(E_F) = 5.8 states/eV/f.u.
total magnetic moment = 0.00 μB per formula unit
energy above the lowest structure with this stoichiometry = 0.1103 eV/atom
energy relative to the elements = -0.10 eV per atom

Structure (CIF):
```
data_Ac3Ag2
_symmetry_space_group_name_H-M 'R -3 c'
_symmetry_Int_Tables_number 167
_symmetry_space_group_name_Hall '-R 3 2"c'
_cell_length_a 8.8760
_cell_length_b 8.8760
_cell_length_c 15.3262
_cell_angle_alpha 90.00
_cell_angle_beta 90.00
_cell_angle_gamma 120.00
loop_
_atom_site_label
_atom_site_type_symbol
_atom_site_fract_x
_atom_site_fract_y
_atom_site_fract_z
_atom_site_occupancy
Ac1 Ac 0.0000 0.2831 0.2500 1
Ag1 Ag 0.0000 0.0000 0.0937 1
```